LiCaInRh after structural relaxation. Source: the Alexandria database, functional GGA-PBE.

- DOS(E_F) (states/eV/atom) = 0.436
- raw total energy (eV per atom) = -3.909

Cell: 4.784 4.784 4.784 Å, 60.00 60.00 60.00°
Fractional coordinates of all 4 atoms:
Li (0.000, 0.000, 0.000)
Ca (0.750, 0.750, 0.750)
Rh (0.500, 0.500, 0.500)
In (0.250, 0.250, 0.250)


Tb4InPbN after structural relaxation. Source: the Alexandria database, functional GGA-PBE.

- DOS(E_F) (states/eV/atom) = 0.236
- raw total energy (eV per atom) = -5.562

Cell: 6.726 6.726 8.772 Å, 90.00 112.54 90.00°
Fractional coordinates of all 14 atoms:
N (0.751, 0.250, 0.503)
N (0.249, 0.750, 0.497)
In (0.611, 0.750, 0.221)
In (0.389, 0.250, 0.779)
Tb (0.412, 0.750, 0.823)
Tb (0.908, 0.250, 0.817)
Tb (0.000, 0.500, 0.500)
Tb (0.000, 0.000, 0.500)
Tb (0.500, 0.000, 0.500)
Tb (0.500, 0.500, 0.500)
Tb (0.092, 0.750, 0.183)
Tb (0.588, 0.250, 0.177)
Pb (0.893, 0.750, 0.787)
Pb (0.107, 0.250, 0.213)


Ba2CdAu after structural relaxation. Source: the Alexandria database, functional GGA-PBE.

- DOS(E_F) (states/eV/atom) = 0.828
- raw total energy (eV per atom) = -2.435

Cell: 4.806 4.806 8.871 Å, 74.32 74.32 60.04°
Fractional coordinates of all 4 atoms:
Cd (0.750, 0.750, 0.750)
Ba (0.510, 0.510, 0.470)
Ba (0.990, 0.990, 0.030)
Au (0.250, 0.250, 0.250)


CaCeTh2 after structural relaxation. Source: the Alexandria database, functional GGA-PBE.

- DOS(E_F) (states/eV/atom) = 2.179
- E above lowest polymorph (eV per atom) = 0.0195
- raw total energy (eV per atom) = -5.421

Cell: 4.134 4.134 7.753 Å, 90.00 90.00 90.00°
Fractional coordinates of all 4 atoms:
Th (0.000, 0.000, 0.787)
Th (0.000, 0.000, 0.213)
Ca (0.500, 0.500, 0.500)
Ce (0.500, 0.500, 0.000)


ZnCu2Au after structural relaxation. Source: the Alexandria database, functional GGA-PBE.

- DOS(E_F) (states/eV/atom) = 0.297
- raw total energy (eV per atom) = -3.291

Cell: 4.727 4.727 3.830 Å, 66.35 66.35 47.06°
Fractional coordinates of all 4 atoms:
Zn (0.499, 0.499, 0.502)
Au (0.250, 0.250, 0.250)
Cu (0.750, 0.750, 0.750)
Cu (0.001, 0.001, 0.998)


Sm4Tm9Al11 after structural relaxation. Source: the Alexandria database, functional GGA-PBE.

- DOS(E_F) (states/eV/atom) = 0.640
- raw total energy (eV per atom) = -4.497

Cell: 3.319 13.585 13.585 Å, 111.33 90.00 90.00°
Fractional coordinates of all 24 atoms:
Sm (0.500, 0.599, 0.762)
Sm (0.500, 0.762, 0.599)
Sm (0.500, 0.401, 0.238)
Sm (0.500, 0.238, 0.401)
Al (0.000, 0.191, 0.809)
Al (0.000, 0.812, 0.812)
Al (0.000, 0.621, 0.379)
Al (0.000, 0.379, 0.621)
Al (0.000, 0.034, 0.412)
Al (0.000, 0.412, 0.034)
Al (0.000, 0.966, 0.588)
Al (0.000, 0.000, 0.000)
Al (0.000, 0.588, 0.966)
Al (0.000, 0.809, 0.191)
Al (0.000, 0.188, 0.188)
Tm (0.500, 0.610, 0.167)
Tm (0.500, 0.167, 0.610)
Tm (0.500, 0.994, 0.795)
Tm (0.500, 0.006, 0.205)
Tm (0.500, 0.500, 0.500)
Tm (0.500, 0.795, 0.994)
Tm (0.500, 0.833, 0.390)
Tm (0.500, 0.390, 0.833)
Tm (0.500, 0.205, 0.006)


CoRe2Te after structural relaxation. Source: the Alexandria database, functional GGA-PBE.

- DOS(E_F) (states/eV/atom) = 1.156
- raw total energy (eV per atom) = -8.032

Cell: 3.114 4.330 4.687 Å, 90.00 90.00 90.00°
Fractional coordinates of all 4 atoms:
Re (0.000, 0.000, 0.000)
Re (0.500, 0.500, 0.000)
Te (0.500, 0.000, 0.500)
Co (0.000, 0.500, 0.500)


Hg12Br3Cl5 after structural relaxation. Source: the Alexandria database, functional GGA-PBE.

- DOS(E_F) (states/eV/atom) = 0.638
- raw total energy (eV per atom) = -0.944

Cell: 15.420 15.420 15.420 Å, 109.47 109.47 109.47°
Fractional coordinates of all 80 atoms:
Br (0.875, 0.750, 0.125)
Br (0.125, 0.875, 0.750)
Br (0.375, 0.625, 0.250)
Br (0.625, 0.375, 0.750)
Br (0.625, 0.250, 0.375)
Br (0.250, 0.125, 0.375)
Br (0.375, 0.750, 0.625)
Br (0.875, 0.125, 0.250)
Br (0.750, 0.375, 0.125)
Br (0.250, 0.625, 0.875)
Br (0.750, 0.875, 0.625)
Br (0.125, 0.250, 0.875)
Hg (0.664, 0.434, 0.587)
Hg (0.231, 0.664, 0.077)
Hg (0.836, 0.923, 0.269)
Hg (0.347, 0.934, 0.769)
Hg (0.269, 0.847, 0.934)
Hg (0.566, 0.231, 0.153)
Hg (0.731, 0.153, 0.066)
Hg (0.423, 0.269, 0.336)
Hg (0.413, 0.347, 0.577)
Hg (0.231, 0.566, 0.653)
Hg (0.434, 0.664, 0.087)
Hg (0.164, 0.077, 0.731)
Hg (0.423, 0.153, 0.587)
Hg (0.087, 0.923, 0.153)
Hg (0.153, 0.423, 0.087)
Hg (0.587, 0.934, 0.664)
Hg (0.577, 0.731, 0.664)
Hg (0.066, 0.413, 0.836)
Hg (0.164, 0.087, 0.934)
Hg (0.577, 0.847, 0.413)
Hg (0.153, 0.731, 0.566)
Hg (0.934, 0.587, 0.164)
Hg (0.077, 0.913, 0.347)
Hg (0.653, 0.587, 0.923)
Hg (0.566, 0.336, 0.913)
Hg (0.847, 0.577, 0.913)
Hg (0.731, 0.577, 0.164)
Hg (0.769, 0.336, 0.923)
Hg (0.923, 0.836, 0.769)
Hg (0.347, 0.413, 0.077)
Hg (0.587, 0.653, 0.423)
Hg (0.077, 0.164, 0.231)
Hg (0.066, 0.653, 0.731)
Hg (0.087, 0.164, 0.434)
Hg (0.913, 0.836, 0.566)
Hg (0.653, 0.066, 0.231)
Hg (0.413, 0.066, 0.336)
Hg (0.269, 0.423, 0.836)
Hg (0.769, 0.434, 0.347)
Hg (0.836, 0.913, 0.066)
Hg (0.847, 0.269, 0.434)
Hg (0.664, 0.231, 0.577)
Hg (0.913, 0.077, 0.847)
Hg (0.336, 0.769, 0.423)
Hg (0.336, 0.566, 0.413)
Hg (0.434, 0.769, 0.847)
Hg (0.923, 0.087, 0.653)
Hg (0.934, 0.347, 0.269)
Cl (0.000, 0.500, 0.000)
Cl (0.375, 0.250, 0.125)
Cl (0.375, 0.125, 0.750)
Cl (0.500, 0.500, 0.500)
Cl (0.125, 0.375, 0.250)
Cl (0.750, 0.125, 0.875)
Cl (0.875, 0.625, 0.750)
Cl (0.250, 0.375, 0.625)
Cl (0.750, 0.625, 0.375)
Cl (0.625, 0.875, 0.250)
Cl (0.000, 0.000, 0.000)
Cl (0.000, 0.000, 0.500)
Cl (0.000, 0.500, 0.500)
Cl (0.500, 0.000, 0.500)
Cl (0.500, 0.500, 0.000)
Cl (0.125, 0.750, 0.375)
Cl (0.875, 0.250, 0.625)
Cl (0.625, 0.750, 0.875)
Cl (0.500, 0.000, 0.000)
Cl (0.250, 0.875, 0.125)


In12GaPb6 after structural relaxation. Source: the Alexandria database, functional GGA-PBE.

- DOS(E_F) (states/eV/atom) = 0.392
- raw total energy (eV per atom) = -2.997

Cell: 8.554 8.554 8.554 Å, 103.55 103.55 103.55°
Fractional coordinates of all 19 atoms:
In (0.805, 0.403, 0.500)
In (0.263, 0.116, 0.817)
In (0.403, 0.500, 0.805)
In (0.817, 0.263, 0.116)
In (0.195, 0.597, 0.500)
In (0.884, 0.183, 0.737)
In (0.183, 0.737, 0.884)
In (0.500, 0.195, 0.597)
In (0.597, 0.500, 0.195)
In (0.116, 0.817, 0.263)
In (0.500, 0.805, 0.403)
In (0.737, 0.884, 0.183)
Pb (0.195, 0.437, 0.092)
Pb (0.805, 0.563, 0.908)
Pb (0.563, 0.908, 0.805)
Pb (0.092, 0.195, 0.437)
Pb (0.908, 0.805, 0.563)
Pb (0.437, 0.092, 0.195)
Ga (0.000, 0.000, 0.000)


Ho6Er2Co after structural relaxation. Source: the Alexandria database, functional GGA-PBE.

- DOS(E_F) (states/eV/atom) = 1.626
- raw total energy (eV per atom) = -4.680

Cell: 3.588 9.041 9.598 Å, 118.10 89.99 90.00°
Fractional coordinates of all 9 atoms:
Ho (0.000, 0.334, 0.332)
Ho (0.000, 0.998, 0.332)
Ho (0.500, 0.208, 0.000)
Ho (0.000, 0.002, 0.668)
Ho (0.000, 0.666, 0.668)
Ho (0.500, 0.792, 0.000)
Co (0.000, 0.000, 0.000)
Er (0.500, 0.671, 0.343)
Er (0.500, 0.329, 0.657)


RbBrCl6 after structural relaxation. Source: the Alexandria database, functional GGA-PBE.

- DOS(E_F) (states/eV/atom) = 0.000
- raw total energy (eV per atom) = -2.214

Cell: 5.847 7.538 7.538 Å, 66.24 80.39 99.61°
Fractional coordinates of all 8 atoms:
Cl (0.372, 0.988, 0.616)
Cl (0.628, 0.616, 0.988)
Cl (0.071, 0.725, 0.275)
Cl (0.929, 0.275, 0.725)
Cl (0.372, 0.384, 0.012)
Cl (0.628, 0.012, 0.384)
Br (0.000, 0.000, 0.000)
Rb (0.500, 0.500, 0.500)


BaCa3Pt after structural relaxation. Source: the Alexandria database, functional GGA-PBE.

- DOS(E_F) (states/eV/atom) = 0.558
- E above lowest polymorph (eV per atom) = 0.0336
- raw total energy (eV per atom) = -3.221

Cell: 30.910 7.013 10.072 Å, 90.00 159.36 90.00°
Fractional coordinates of all 20 atoms:
Ca (0.410, 0.436, 0.396)
Ca (0.849, 0.597, 0.581)
Ca (0.954, 0.470, 0.541)
Ca (0.454, 0.030, 0.041)
Ca (0.046, 0.530, 0.459)
Ca (0.910, 0.064, 0.896)
Ca (0.651, 0.097, 0.919)
Ca (0.349, 0.903, 0.081)
Ca (0.090, 0.936, 0.104)
Ca (0.151, 0.403, 0.419)
Ca (0.590, 0.564, 0.604)
Ca (0.546, 0.970, 0.959)
Pt (0.407, 0.270, 0.122)
Pt (0.093, 0.770, 0.378)
Pt (0.593, 0.730, 0.878)
Pt (0.907, 0.230, 0.622)
Ba (0.679, 0.490, 0.433)
Ba (0.821, 0.990, 0.067)
Ba (0.179, 0.010, 0.933)
Ba (0.321, 0.510, 0.567)


| no. | density (g/cm³) |
| --- | --- |
| 1 | 5.678 |
| 2 | 8.806 |
| 3 | 5.751 |
| 4 | 8.076 |
| 5 | 11.482 |
| 6 | 7.039 |
| 7 | 14.684 |
| 8 | 6.646 |
| 9 | 7.933 |
| 10 | 8.361 |
| 11 | 2.169 |
| 12 | 3.906 |